TaPCO2, relaxed, DFT PBE; total DFT energy (no corrections) = -0.2722 hartree per atom; formation energy from raw total energies = -126.4 meV/atom; distance to the lowest polymorph of the same formula = 0 meV/atom
1.0
-1.4646 3.4203 -0.7355
-2.9027 -0.7430 2.3251
2.7911 2.0880 4.1517
P C O Ta
1 1 2 1
Direct
0.0000 0.0000 0.5000 P
0.5000 0.5000 0.5000 C
0.0000 0.5000 0.0000 O
0.5000 0.0000 0.0000 O
0.0000 0.0000 0.0000 Ta


Y2Ga3Co, relaxed, DFT PBE; total DFT energy (no corrections) = -0.1989 hartree per atom
1.0
-3.6496 -0.0980 -0.2794
0.2101 -4.0737 -1.3154
-0.4854 -2.3371 7.1605
Y Ga Co
2 3 1
Direct
0.0000 0.5000 0.0231 Y
0.0000 0.0000 0.4848 Y
0.5000 0.0000 0.8355 Ga
0.5000 0.0000 0.1757 Ga
0.5000 0.5000 0.6532 Ga
0.5000 0.5000 0.3277 Co


CaPm4Pr6, relaxed, DFT PBE; total DFT energy (no corrections) = -0.1549 hartree per atom
1.0
7.7091 -3.1930 -5.7846
-5.3759 8.3397 2.1535
-2.0583 3.1930 9.4157
Ca Pm Pr
1 4 6
Direct
0.0000 0.0000 0.0000 Ca
0.0000 0.6336 0.0059 Pm
0.3723 0.3664 0.3664 Pm
0.0000 0.0059 0.6336 Pm
0.6277 0.9941 0.9941 Pm
0.0000 0.8038 0.4576 Pr
0.0000 0.4576 0.8038 Pr
0.3462 0.5424 0.5424 Pr
0.5000 0.5000 0.0000 Pr
0.6538 0.1962 0.1962 Pr
0.5000 0.0000 0.5000 Pr